## A
RuAu2Br: optimized geometry, PBE.

Unit cell a=2.830 b=2.830 c=10.983 alpha=90.00 beta=90.00 gamma=115.39
Element x y z (fractional)
Ru: 0.000 0.000 0.000
Au: 0.500 0.500 0.214
Au: 0.500 0.500 0.786
Br: 0.000 0.000 0.500

Values from the calculation:
D(E_F), states/eV per atom: 0.648
V, A^3/atom: 19.87
SG: Cmmm (65)

---

## B
RuAu2Br: optimized geometry, PBE.

Unit cell a=9.399 b=9.399 c=9.399 alpha=18.95 beta=18.95 gamma=18.95
Element x y z (fractional)
Ru: 0.000 0.000 0.000
Au: 0.492 0.492 0.492
Au: 0.743 0.743 0.743
Br: 0.269 0.269 0.269

Values from the calculation:
D(E_F), states/eV per atom: 0.530
V, A^3/atom: 19.12
SG: R3m (160)

---

Relative to the most stable structure, the computed energies are A 0.168; B 0.000, all in eV/atom.

---

## A
Au2SBr: optimized geometry, PBE.

Unit cell a=4.843 b=4.843 c=4.843 alpha=60.00 beta=60.00 gamma=60.00
Element x y z (fractional)
Au: 0.250 0.250 0.250
Au: 0.750 0.750 0.750
S: 0.000 0.000 0.000
Br: 0.500 0.500 0.500

Values from the calculation:
D(E_F), states/eV per atom: 1.762
V, A^3/atom: 20.08
SG: Fm-3m (225)

---

## B
Au2SBr: optimized geometry, PBE.

Unit cell a=7.583 b=7.583 c=7.583 alpha=135.16 beta=135.16 gamma=65.28
Element x y z (fractional)
Au: 0.041 0.625 0.916
Au: 0.375 0.291 0.416
Au: 0.709 0.125 0.084
Au: 0.875 0.959 0.584
S: 0.000 0.000 0.000
S: 0.750 0.250 0.500
Br: 0.250 0.750 0.500
Br: 0.500 0.500 0.000

Values from the calculation:
D(E_F), states/eV per atom: 0.745
V, A^3/atom: 26.70
SG: I-42d (122)

---

Relative to the most stable structure, the computed energies are A 0.586; B 0.000, all in eV/atom.

---

## A
Sb2AuBr: optimized geometry, PBE.

Unit cell a=8.706 b=8.706 c=8.706 alpha=26.61 beta=26.61 gamma=26.61
Element x y z (fractional)
Sb: 0.000 0.000 0.000
Sb: 0.260 0.260 0.260
Au: 0.525 0.525 0.525
Br: 0.795 0.795 0.795

Values from the calculation:
D(E_F), states/eV per atom: 0.411
V, A^3/atom: 29.19
SG: R3m (160)

---

## B
Sb2AuBr: optimized geometry, PBE.

Unit cell a=3.575 b=3.575 c=8.230 alpha=90.00 beta=90.00 gamma=100.98
Element x y z (fractional)
Sb: 0.000 0.000 0.207
Sb: 0.000 0.000 0.793
Au: 0.500 0.500 0.000
Br: 0.500 0.500 0.500

Values from the calculation:
D(E_F), states/eV per atom: 0.532
V, A^3/atom: 25.81
SG: Cmmm (65)

---

## C
Sb2AuBr: optimized geometry, PBE.

Unit cell a=3.550 b=3.550 c=9.137 alpha=90.00 beta=90.00 gamma=114.32
Element x y z (fractional)
Sb: 0.000 0.000 0.000
Sb: 0.500 0.500 0.269
Au: 0.000 0.000 0.485
Br: 0.500 0.500 0.698

Values from the calculation:
D(E_F), states/eV per atom: 0.515
V, A^3/atom: 26.23
SG: Cmm2 (35)

---

## D
Sb2AuBr: optimized geometry, PBE.

Unit cell a=6.865 b=6.865 c=4.264 alpha=90.08 beta=90.08 gamma=34.30
Element x y z (fractional)
Sb: 0.000 0.000 0.000
Sb: 0.669 0.669 0.001
Au: 0.526 0.526 0.500
Br: 0.311 0.311 0.501

Values from the calculation:
D(E_F), states/eV per atom: 0.286
V, A^3/atom: 28.31
SG: Cm (8)

---

Relative to the most stable structure, the computed energies are A 0.087; B 0.120; C 0.246; D 0.000, all in eV/atom.

---

## A
Sb2AuBr: optimized geometry, PBE.

Unit cell a=5.137 b=5.137 c=5.137 alpha=60.00 beta=60.00 gamma=60.00
Element x y z (fractional)
Sb: 0.250 0.250 0.250
Sb: 0.750 0.750 0.750
Au: 0.000 0.000 0.000
Br: 0.500 0.500 0.500

Values from the calculation:
D(E_F), states/eV per atom: 0.552
V, A^3/atom: 23.96
SG: Fm-3m (225)

---

## B
Sb2AuBr: optimized geometry, PBE.

Unit cell a=5.924 b=5.924 c=5.924 alpha=144.04 beta=119.20 gamma=72.70
Element x y z (fractional)
Sb: 0.220 0.220 0.000
Sb: 0.780 0.780 0.000
Au: 0.000 0.500 0.500
Br: 0.500 0.000 0.500

Values from the calculation:
D(E_F), states/eV per atom: 0.459
V, A^3/atom: 26.15
SG: Immm (71)

---

## C
Sb2AuBr: optimized geometry, PBE.

Unit cell a=3.792 b=3.792 c=7.491 alpha=90.00 beta=90.00 gamma=90.00
Element x y z (fractional)
Sb: 0.000 0.000 0.000
Sb: 0.500 0.500 0.247
Au: 0.000 0.000 0.390
Br: 0.500 0.500 0.718

Values from the calculation:
D(E_F), states/eV per atom: 0.336
V, A^3/atom: 26.92
SG: P4mm (99)

---

## D
Sb2AuBr: optimized geometry, PBE.

Unit cell a=4.302 b=4.302 c=7.360 alpha=99.63 beta=99.63 gamma=61.98
Element x y z (fractional)
Sb: 0.180 0.180 0.173
Sb: 0.820 0.820 0.827
Au: 0.500 0.500 0.000
Br: 0.000 0.000 0.500

Values from the calculation:
D(E_F), states/eV per atom: 0.215
V, A^3/atom: 29.48
SG: C2/m (12)

---

Relative to the most stable structure, the computed energies are A 0.393; B 0.266; C 0.299; D 0.000, all in eV/atom.

---

## A
Sb2AuBr: optimized geometry, PBE.

Unit cell a=7.161 b=4.993 c=13.160 alpha=90.00 beta=90.00 gamma=90.00
Element x y z (fractional)
Sb: 0.088 0.193 0.065
Sb: 0.088 0.307 0.435
Sb: 0.412 0.693 0.435
Sb: 0.412 0.807 0.065
Sb: 0.588 0.193 0.935
Sb: 0.588 0.307 0.565
Sb: 0.912 0.693 0.565
Sb: 0.912 0.807 0.935
Au: 0.250 0.000 0.590
Au: 0.250 0.500 0.910
Au: 0.750 0.000 0.410
Au: 0.750 0.500 0.090
Br: 0.053 0.250 0.750
Br: 0.447 0.750 0.750
Br: 0.553 0.250 0.250
Br: 0.947 0.750 0.250

Values from the calculation:
D(E_F), states/eV per atom: 0.363
V, A^3/atom: 29.41
SG: Pnna (52)

---

## B
Sb2AuBr: optimized geometry, PBE.

Unit cell a=5.232 b=3.327 c=5.801 alpha=90.00 beta=90.10 gamma=90.00
Element x y z (fractional)
Sb: 0.000 0.000 0.000
Sb: 0.500 0.500 0.500
Au: 0.000 0.000 0.500
Br: 0.500 0.500 0.000

Values from the calculation:
D(E_F), states/eV per atom: 0.597
V, A^3/atom: 25.24
SG: P2/m (10)

---

Relative to the most stable structure, the computed energies are A 0.000; B 0.195, all in eV/atom.

---

## A
SbAuBr2: optimized geometry, PBE.

Unit cell a=5.437 b=5.437 c=5.437 alpha=127.20 beta=127.20 gamma=77.92
Element x y z (fractional)
Sb: 0.000 0.000 0.000
Au: 0.500 0.500 0.000
Br: 0.250 0.750 0.500
Br: 0.750 0.250 0.500

Values from the calculation:
D(E_F), states/eV per atom: 0.475
V, A^3/atom: 24.71
SG: I4/mmm (139)

---

## B
SbAuBr2: optimized geometry, PBE.

Unit cell a=7.904 b=7.904 c=4.490 alpha=91.30 beta=91.30 gamma=27.10
Element x y z (fractional)
Sb: 0.000 0.000 0.000
Au: 0.500 0.500 0.500
Br: 0.348 0.348 0.773
Br: 0.652 0.652 0.227

Values from the calculation:
D(E_F), states/eV per atom: 0.381
V, A^3/atom: 31.94
SG: C2/m (12)

---

Relative to the most stable structure, the computed energies are A 0.365; B 0.000, all in eV/atom.